This record from the Alexandria database describes a geometry-optimized PaMn2RhO8 structure. The functional is GGA+U.

magnetic moment: 3.99 μB/f.u.
space-group type: I-4m2 (119)
E: -7.487 eV/atom
crystal system: tetragonal

```
PaMn2RhO8
1.0
5.8705 0.5492 0.0000
-2.1115 5.5051 0.0000
-1.8795 -3.0271 4.6977
Pa Mn Rh O
1 2 1 8
direct
0.2500 0.7500 0.5000 Pa
0.7500 0.2500 0.5000 Mn
0.5000 0.5000 0.0000 Mn
0.0000 0.0000 0.0000 Rh
0.3348 0.0414 0.2934 O
0.3262 0.5152 0.1890 O
0.3262 0.1372 0.8110 O
0.7480 0.0414 0.7066 O
0.8628 0.6738 0.1890 O
0.9586 0.2520 0.2934 O
0.9586 0.6652 0.7066 O
0.4848 0.6738 0.8110 O
```